#P
# PmNd5Dy2

A geometry-optimized PmNd5Dy2 structure (PBE-GGA, Alexandria).

ρ ... 7245 kg/m³
Total magnetic moment ... 0.0 μB per cell

Cell: 7.282 14.564 5.149 Å, 90.00 90.00 90.00°
Atoms (fractional coordinates):
Pm1 0.000 0.000 0.000
Pm2 0.500 0.500 0.000
Nd1 0.000 0.500 0.000
Nd2 0.001 0.250 0.000
Nd3 0.249 0.875 0.500
Nd4 0.251 0.375 0.500
Nd5 0.499 0.750 0.000
Nd6 0.500 0.000 0.000
Nd7 0.501 0.250 0.000
Nd8 0.749 0.625 0.500
Nd9 0.751 0.125 0.500
Nd10 0.999 0.750 0.000
Dy1 0.249 0.625 0.500
Dy2 0.251 0.125 0.500
Dy3 0.749 0.875 0.500
Dy4 0.751 0.375 0.500

***

#Q
# PmNd5Dy2

A geometry-optimized PmNd5Dy2 structure (PBE-GGA, Alexandria).

ρ ... 7161 kg/m³
Total magnetic moment ... 0.0 μB per cell

Cell: 6.943 9.424 9.429 Å, 85.07 71.10 71.22°
Atoms (fractional coordinates):
Pm1 0.249 0.290 0.205
Pm2 0.751 0.710 0.795
Nd1 0.002 0.166 0.584
Nd2 0.248 0.460 0.543
Nd3 0.251 0.793 0.711
Nd4 0.499 0.086 0.671
Nd5 0.499 0.417 0.836
Nd6 0.501 0.583 0.164
Nd7 0.501 0.914 0.329
Nd8 0.749 0.207 0.289
Nd9 0.752 0.540 0.457
Nd10 0.998 0.834 0.416
Dy1 0.000 0.333 0.917
Dy2 0.000 0.667 0.083
Dy3 0.248 0.959 0.040
Dy4 0.752 0.041 0.960

***

Which of them is the most stable? Correct choice: #P.

***

#P
# Pm3Nd2Dy6

A geometry-optimized Pm3Nd2Dy6 structure (PBE-GGA, Alexandria).

ρ ... 7371 kg/m³
Total magnetic moment ... 0.0 μB per cell

Cell: 6.190 6.190 11.729 Å, 95.08 95.08 120.11°
Atoms (fractional coordinates):
Pm1 0.000 0.000 0.000
Pm2 0.336 0.664 0.000
Pm3 0.664 0.336 0.000
Nd1 0.167 0.833 0.500
Nd2 0.833 0.167 0.500
Dy1 0.083 0.417 0.250
Dy2 0.250 0.250 0.750
Dy3 0.417 0.083 0.250
Dy4 0.583 0.917 0.750
Dy5 0.750 0.750 0.250
Dy6 0.917 0.583 0.750

***

#Q
# Pm3Nd2Dy6

A geometry-optimized Pm3Nd2Dy6 structure (PBE-GGA, Alexandria).

ρ ... 7405 kg/m³
Total magnetic moment ... 0.0 μB per cell

Cell: 17.016 17.016 17.016 Å, 163.85 163.85 22.91°
Atoms (fractional coordinates):
Pm1 0.000 0.000 0.000
Pm2 0.203 0.203 0.000
Pm3 0.797 0.797 0.000
Nd1 0.454 0.454 0.000
Nd2 0.546 0.546 0.000
Dy1 0.121 0.621 0.500
Dy2 0.306 0.306 0.000
Dy3 0.379 0.879 0.500
Dy4 0.621 0.121 0.500
Dy5 0.694 0.694 0.000
Dy6 0.879 0.379 0.500

***

Which of them is the most stable? Correct choice: #P.